Density functional theory data (SCAN) for a crystal of Li4Cr3O8 relaxed with PBEsol.

The total magnetization comes out at 18.0 Bohr magnetons per cell. For the total energy, the calculation gives -9.906 eV per atom. The value obtained for the volume is 9.25 Å³ per atom.

It has space group R-3m (No. 166, hexagonal axes), with a = 5.6548 Å, b = 5.6548 Å, c = 15.0384 Å, α = 90.00°, β = 90.00° and γ = 120.00°. The inequivalent atoms are Li at (0.0000, 0.0000, 0.0000), Li at (0.0000, 0.0000, 0.1423), Li at (0.0000, 0.0000, 0.5000), Cr at (0.0000, 0.5000, 0.0000), O at (0.0000, 0.0000, 0.2654) and O at (0.0165, 0.5083, 0.2646).